# 1
# Ga3Ni2

Ga3Ni2 at its PBEsol-relaxed geometry (meta-GGA SCAN, Alexandria via LeMat-Bulk).

The structure belongs to space group P-3m1 (No. 164); the cell edges are 4.0036, 4.0036 and 4.8516 Å and the angles 90.00°, 90.00° and 120.00°. The distinct sites, in fractional coordinates, are Ga at (0.0000, 0.0000, 0.0000), Ga at (0.3333, 0.6667, 0.6399) and Ni at (0.3333, 0.6667, 0.1418).

=====

# 2
# SrPb3O

SrPb3O at its PBEsol-relaxed geometry (meta-GGA SCAN, Alexandria via LeMat-Bulk).

The calculation puts the uncorrected formation energy at 1.20 eV per atom.

The structure belongs to space group Pm-3m (No. 221); the cell edges are 6.063, 6.063 and 6.063 Å and the angles 90.00°, 90.00° and 90.00°. The distinct sites, in fractional coordinates, are Sr at (0.000, 0.000, 0.000), Pb at (0.000, 0.000, 0.500) and O at (0.500, 0.500, 0.500).

=====

# 3
# EuSi3Ir

EuSi3Ir at its PBEsol-relaxed geometry (meta-GGA SCAN, Alexandria via LeMat-Bulk).

The calculation puts the uncorrected formation energy at -0.79 eV per atom.

The structure belongs to space group I4mm (No. 107); the cell edges are 4.191, 4.191 and 9.822 Å and the angles 90.00°, 90.00° and 90.00°. The distinct sites, in fractional coordinates, are Eu at (0.000, 0.000, 0.000), Si at (0.000, 0.000, 0.586), Si at (0.000, 0.500, 0.237) and Ir at (0.000, 0.000, 0.347).

=====

# 4
# ZrAlAsSe2

ZrAlAsSe2 at its PBEsol-relaxed geometry (meta-GGA SCAN, Alexandria via LeMat-Bulk).

The calculation puts the uncorrected formation energy at -0.03 eV per atom.

The structure belongs to space group P4/mmm (No. 123); the cell edges are 4.749, 4.749 and 4.759 Å and the angles 90.00°, 90.00° and 90.00°. The distinct sites, in fractional coordinates, are Zr at (0.000, 0.000, 0.000), Al at (0.500, 0.500, 0.500), As at (0.500, 0.500, 0.000) and Se at (0.000, 0.500, 0.500).

=====

# 5
# TlTcBi2Ir

TlTcBi2Ir at its PBEsol-relaxed geometry (meta-GGA SCAN, Alexandria via LeMat-Bulk).

The structure belongs to space group P4/mmm (No. 123); the cell edges are 5.275, 5.275 and 5.078 Å and the angles 90.00°, 90.00° and 90.00°. The distinct sites, in fractional coordinates, are Tl at (0.000, 0.000, 0.000), Tc at (0.500, 0.500, 0.000), Bi at (0.000, 0.500, 0.500) and Ir at (0.000, 0.000, 0.500).

=====

# 6
# HPdW2

HPdW2 at its PBEsol-relaxed geometry (meta-GGA SCAN, Alexandria via LeMat-Bulk).

The structure belongs to space group Fm-3m (No. 225); the cell edges are 5.968, 5.968 and 5.968 Å and the angles 90.00°, 90.00° and 90.00°. The distinct sites, in fractional coordinates, are H at (0.000, 0.000, 0.000), Pd at (0.000, 0.000, 0.500) and W at (0.250, 0.250, 0.250).

=====

# 7
# Pb2WF2

Pb2WF2 at its PBEsol-relaxed geometry (meta-GGA SCAN, Alexandria via LeMat-Bulk).

The calculation puts the uncorrected formation energy at -0.31 eV per atom.

The structure belongs to space group I4/mmm (No. 139); the cell edges are 3.455, 3.455 and 13.732 Å and the angles 90.00°, 90.00° and 90.00°. The distinct sites, in fractional coordinates, are Pb at (0.000, 0.000, 0.122), W at (0.000, 0.000, 0.500) and F at (0.000, 0.500, 0.250).

=====

# 8
# Zr2In3

Zr2In3 at its PBEsol-relaxed geometry (meta-GGA SCAN, Alexandria via LeMat-Bulk).

The structure belongs to space group P-3m1 (No. 164); the cell edges are 4.8345, 4.8345 and 6.0344 Å and the angles 90.00°, 90.00° and 120.00°. The distinct sites, in fractional coordinates, are Zr at (0.3333, 0.6667, 0.3569), In at (0.0000, 0.0000, 0.5000) and In at (0.3333, 0.6667, 0.8685).

=====

no.,raw total energy (eV/atom)
1,-16.73
2,-49.97
3,-31.76
4,-19.79
5,-65.99
6,-42.86
7,-45.97
8,-32.48